Record 1
This record from Alexandria via LeMat-Bulk describes crystalline SbMo at its relaxed geometry. The functional is PBEsol.

The structure in POSCAR format:
```
SbMo
1.0
3.106 0.000 0.000
-1.553 2.690 0.000
0.000 0.000 9.971
Mo Sb
2 2
Cartesian
0.000 1.793 0.922 Mo
1.553 0.897 9.049 Mo
0.000 1.793 6.743 Sb
1.553 0.897 3.228 Sb
```

## Properties
uncorrected formation energy: 0.224 eV per atom
calculated density: 8678 kg/m³
energy: -15.88 eV/f.u.

Record 2
This record from Alexandria via LeMat-Bulk describes crystalline Nd4Au2O9 at its relaxed geometry. The functional is PBEsol.

The structure in POSCAR format:
```
Nd4Au2O9
1.0
6.114 0.000 0.000
0.000 11.871 0.000
0.000 0.000 11.910
Nd Au O
16 8 36
Cartesian
4.539 0.145 1.064 Nd
4.539 11.726 4.891 Nd
4.632 5.791 7.018 Nd
4.632 6.080 10.846 Nd
1.575 11.726 10.846 Nd
1.575 0.145 7.018 Nd
1.482 6.080 4.891 Nd
1.482 5.791 1.064 Nd
4.904 4.044 3.150 Nd
4.904 7.827 2.805 Nd
4.268 1.891 9.104 Nd
4.268 9.979 8.760 Nd
1.210 7.827 8.760 Nd
1.210 4.044 9.104 Nd
1.847 9.979 2.805 Nd
1.847 1.891 3.150 Nd
3.551 3.227 0.128 Au
3.551 8.644 5.827 Au
5.620 2.709 6.083 Au
5.620 9.162 11.782 Au
2.563 8.644 11.782 Au
2.563 3.227 6.083 Au
0.494 9.162 5.827 Au
0.494 2.709 0.128 Au
5.759 4.556 5.315 O
5.759 7.315 0.640 O
3.413 1.380 11.270 O
3.413 10.491 6.595 O
0.356 7.315 6.595 O
0.356 4.556 11.270 O
2.702 10.491 0.640 O
2.702 1.380 5.315 O
5.746 1.939 4.201 O
5.746 9.931 1.753 O
3.425 3.996 10.156 O
3.425 7.875 7.708 O
0.368 9.931 7.708 O
0.368 1.939 10.156 O
3.816 2.345 1.878 O
2.689 7.875 1.753 O
3.756 5.020 1.051 O
3.756 6.851 4.904 O
5.415 0.915 7.006 O
5.415 10.955 10.859 O
2.358 6.851 10.859 O
2.358 5.020 7.006 O
0.699 10.955 4.904 O
0.699 0.915 1.051 O
0.148 5.935 2.977 O
2.909 0.000 8.932 O
5.966 5.935 8.932 O
3.205 0.000 2.977 O
0.759 3.590 1.878 O
0.759 8.281 4.076 O
2.298 2.345 7.833 O
2.298 9.525 10.031 O
5.355 8.281 10.031 O
5.355 3.590 7.833 O
3.816 9.525 4.076 O
2.689 3.996 4.201 O
```

## Properties
uncorrected formation energy: -2.395 eV per atom
calculated density: 8567 kg/m³
energy: -111.69 eV/f.u.

Record 3
This record from Alexandria via LeMat-Bulk describes crystalline LiTiSiO4 at its relaxed geometry. The functional is PBEsol.

The structure in POSCAR format:
```
LiTiSiO4
1.0
-3.901 -2.685 -2.972
1.575 -3.483 -4.180
-0.677 -5.583 0.674
Li Ti Si O
2 2 2 8
Cartesian
-1.502 -5.876 -3.239 Li
-1.951 -1.342 -1.486 Li
-0.339 -2.792 0.337 Ti
-2.289 -4.134 -1.149 Ti
0.453 -3.264 -2.904 Si
-3.456 -8.487 -3.574 Si
-1.066 -5.677 -1.249 O
-3.100 -7.076 -2.798 O
-2.341 -8.771 -4.780 O
-2.723 -4.176 -3.171 O
-0.663 -2.980 -1.698 O
-0.281 -7.575 -3.307 O
0.096 -4.675 -3.680 O
-1.938 -6.074 -5.229 O
```

## Properties
uncorrected formation energy: -2.707 eV per atom
calculated density: 3794 kg/m³
energy: -55.98 eV/f.u.

Record 4
This record from Alexandria via LeMat-Bulk describes crystalline AgSb at its relaxed geometry. The functional is PBEsol.

The structure in POSCAR format:
```
AgSb
1.0
-1.558 -2.074 -1.971
3.165 -3.171 0.835
-3.709 0.047 5.577
Sb Ag
2 2
Cartesian
-1.734 -1.342 0.091 Sb
-0.369 -3.856 4.351 Sb
0.298 -2.104 1.979 Ag
-2.401 -3.094 2.462 Ag
```

## Properties
uncorrected formation energy: 0.095 eV per atom
calculated density: 8154 kg/m³
energy: -7.68 eV/f.u.